Record 1
{
  "formula": "NaInTe2",
  "functional": "GGA-PBE",
  "state": "optimized geometry",
  "dos_ef_per_ev_atom": 0.000,
  "crystal_system": "orthorhombic",
  "e_form_raw_ev_per_atom": -0.54,
  "lattice": [[9.1412, 0.0000, 0.0000], [0.0000, 4.4560, 0.0000], [0.0000, 0.0000, 15.9016]],
  "species": ["Na", "Na", "Na", "Na", "In", "In", "In", "In", "Te", "Te", "Te", "Te", "Te", "Te", "Te", "Te"],
  "frac_coords": [[0.2315, 0.2500, 0.2370], [0.2685, 0.7500, 0.7370], [0.7315, 0.2500, 0.2630], [0.7685, 0.7500, 0.7630], [0.0417, 0.7500, 0.4062], [0.4583, 0.2500, 0.9062], [0.5417, 0.7500, 0.0938], [0.9583, 0.2500, 0.5938], [0.0201, 0.2500, 0.7611], [0.2059, 0.2500, 0.4766], [0.2941, 0.7500, 0.9766], [0.4799, 0.7500, 0.2611], [0.5201, 0.2500, 0.7389], [0.7059, 0.2500, 0.0234], [0.7941, 0.7500, 0.5234], [0.9799, 0.7500, 0.2389]]
}



Record 2
{
  "formula": "CaTb2UO6",
  "functional": "GGA-PBE",
  "state": "optimized geometry",
  "dos_ef_per_ev_atom": 0.618,
  "crystal_system": "triclinic",
  "e_form_raw_ev_per_atom": -3.28,
  "lattice": [[5.8937, 0.0000, 0.0000], [2.9356, 5.1186, 0.0000], [2.9420, 1.6919, 5.0879]],
  "species": ["Ca", "Tb", "Tb", "U", "O", "O", "O", "O", "O", "O"],
  "frac_coords": [[0.0000, 0.0000, 0.0000], [0.2809, 0.2779, 0.1638], [0.7804, 0.7845, 0.6540], [0.4927, 0.4965, 0.5178], [0.1076, 0.4048, 0.8186], [0.1861, 0.8866, 0.3397], [0.4041, 0.6662, 0.8274], [0.5903, 0.1848, 0.3401], [0.6661, 0.1044, 0.8259], [0.8818, 0.5883, 0.3375]]
}